1.
Computed, not measured: crystalline Ac12Rh6N at its relaxed geometry at the PBE-GGA level of DFT.

```
Ac12Rh6N
1.0
-2.800 -8.033 1.686
8.520 -1.460 0.694
-1.330 3.473 7.835
Ac Rh N
12 6 1
Cartesian
2.170 -6.012 5.062
5.047 -2.501 5.895
0.809 -2.494 7.720
2.220 -0.008 5.153
-0.657 -3.519 4.321
3.581 -3.526 2.495
7.496 -1.023 3.204
4.575 1.805 7.719
5.786 -6.758 2.153
-3.106 -4.997 7.012
-0.185 -7.825 2.496
-1.396 0.738 8.063
4.982 -5.537 4.767
0.693 -4.972 2.251
4.510 -0.868 3.029
-0.592 -0.483 5.448
3.698 -1.048 7.965
-0.119 -5.153 7.186
0.000 0.000 0.000
```

The total energy comes out at -5.908 eV/atom. The crystal system is trigonal. For the formation energy (no corrections), the calculation gives -10.52 eV per formula unit.

2.
Computed, not measured: crystalline Ac2RhN at its relaxed geometry at the PBE-GGA level of DFT.

```
Ac2RhN
1.0
-3.453 -1.874 -0.982
-0.145 -2.401 -3.258
0.631 -6.851 2.504
Ac Rh N
2 1 1
Cartesian
-0.696 -2.918 -0.335
-2.271 -8.207 -1.401
0.000 0.000 0.000
-1.483 -5.563 -0.868
```

The total energy comes out at -6.666 eV/atom. The crystal system is trigonal. For the formation energy (no corrections), the calculation gives -2.77 eV per formula unit. For the distance to the lowest polymorph of the same formula, the calculation gives 0 meV per atom.

3.
Computed, not measured: crystalline Ac2Rh2N7 at its relaxed geometry at the PBE-GGA level of DFT.

```
Ac2Rh2N7
1.0
-1.638 0.138 -3.525
-6.418 -3.285 -0.569
-3.797 5.989 -1.426
Ac Rh N
2 2 7
Cartesian
-5.903 -1.461 -0.738
-5.951 4.302 -4.783
-9.149 2.183 -4.365
-2.706 0.658 -1.155
-3.593 3.515 -3.729
-6.785 4.551 -2.274
-8.261 -0.674 -1.791
-5.069 -1.710 -3.246
-0.819 0.069 -1.763
-4.539 1.197 -0.932
-7.315 1.644 -4.588
```

The total energy comes out at -7.664 eV/atom. The crystal system is monoclinic. For the formation energy (no corrections), the calculation gives -3.10 eV per formula unit.

4.
Computed, not measured: crystalline Ac6Rh2N at its relaxed geometry at the PBE-GGA level of DFT.

```
Ac6Rh2N
1.0
-1.994 1.375 -6.473
-5.441 -5.448 0.519
-6.962 7.288 3.518
Ac Rh N
12 4 2
Cartesian
-2.345 1.882 0.005
-6.007 2.672 1.061
-8.685 5.256 2.225
-9.089 0.021 0.419
-11.567 2.806 1.565
-5.312 -0.734 -1.179
-12.052 1.333 -2.441
-8.390 0.543 -3.497
-5.712 -2.042 -4.661
-5.308 3.194 -2.855
-2.830 0.409 -4.001
-9.085 3.949 -1.257
-8.720 2.243 2.623
-6.685 5.407 -0.204
-7.712 -2.192 -2.232
-5.677 0.972 -5.059
-3.718 -2.037 -2.977
-3.481 3.644 1.759
```

The total energy comes out at -5.890 eV/atom. The crystal system is monoclinic. For the formation energy (no corrections), the calculation gives -5.34 eV per formula unit.

5.
Computed, not measured: crystalline Ac4Rh2N at its relaxed geometry at the PBE-GGA level of DFT.

```
Ac4Rh2N
1.0
4.130 0.000 0.000
2.065 3.576 0.000
2.065 1.192 14.050
Ac Rh N
4 2 1
Cartesian
2.065 1.192 8.883
2.065 1.192 1.548
6.194 3.576 12.502
6.194 3.576 5.167
4.130 2.384 10.515
4.130 2.384 3.535
0.000 0.000 0.000
```

The total energy comes out at -6.273 eV/atom. The crystal system is trigonal. For the formation energy (no corrections), the calculation gives -4.45 eV per formula unit. For the distance to the lowest polymorph of the same formula, the calculation gives 0 meV per atom.

6.
Computed, not measured: crystalline AcRhN3 at its relaxed geometry at the PBE-GGA level of DFT.

```
AcRhN3
1.0
4.288 0.000 0.000
-2.144 5.526 -1.396
0.000 0.084 7.960
Ac Rh N
2 2 6
Cartesian
0.000 1.823 6.001
2.144 3.787 0.563
0.000 5.085 5.404
2.144 0.525 1.160
2.144 1.629 7.345
0.000 3.981 -0.781
0.000 4.347 3.705
2.144 1.688 3.951
2.144 1.263 2.859
0.000 3.922 2.613
```

The total energy comes out at -7.712 eV/atom. The crystal system is monoclinic. For the formation energy (no corrections), the calculation gives -2.12 eV per formula unit.